(1)
# GGA-PBE NdIr6, optimized geometry
data_NdIr6
_chemical_formula_sum 'Nd1 Ir6'
_cell_length_a 5.910
_cell_length_b 5.910
_cell_length_c 5.910
_cell_angle_alpha 109.47
_cell_angle_beta 109.47
_cell_angle_gamma 109.47
_symmetry_space_group_name_H-M 'P 1'
_symmetry_Int_Tables_number 1
_symmetry_space_group_name_Hall 'P 1'
loop_
_atom_site_label
_atom_site_type_symbol
_atom_site_fract_x
_atom_site_fract_y
_atom_site_fract_z
Nd1 Nd 0.000 0.000 0.000
Ir1 Ir 0.250 0.750 0.500
Ir2 Ir 0.500 0.750 0.250
Ir3 Ir 0.250 0.500 0.750
Ir4 Ir 0.750 0.250 0.500
Ir5 Ir 0.500 0.250 0.750
Ir6 Ir 0.750 0.500 0.250
# Volume   22.71 A^3/atom
# DFT formation energy   0.34 eV per atom


(2)
# GGA-PBE TiZnBi2O6, optimized geometry
data_TiZnBi2O6
_chemical_formula_sum 'Ti1 Zn1 Bi2 O6'
_cell_length_a 3.831
_cell_length_b 3.831
_cell_length_c 9.941
_cell_angle_alpha 88.61
_cell_angle_beta 88.61
_cell_angle_gamma 89.36
_symmetry_space_group_name_H-M 'P 1'
_symmetry_Int_Tables_number 1
_symmetry_space_group_name_Hall 'P 1'
loop_
_atom_site_label
_atom_site_type_symbol
_atom_site_fract_x
_atom_site_fract_y
_atom_site_fract_z
Ti1 Ti 0.489 0.489 0.765
Zn1 Zn 0.478 0.478 0.279
Bi1 Bi 0.061 0.061 0.549
Bi2 Bi 0.989 0.989 0.079
O1 O 0.980 0.480 0.199
O2 O 0.480 0.980 0.199
O3 O 0.982 0.467 0.706
O4 O 0.467 0.982 0.706
O5 O 0.446 0.446 0.479
O6 O 0.485 0.485 0.937
# Uncorrected formation energy   -1791.0 meV/atom
# Volume   14.58 A^3/atom
# E above lowest polymorph   0.00 eV/f.u.


(3)
# GGA-PBE Th2BeAl4Pt3, optimized geometry
data_Th2BeAl4Pt3
_chemical_formula_sum 'Th2 Be1 Al4 Pt3'
_cell_length_a 4.275
_cell_length_b 4.275
_cell_length_c 10.316
_cell_angle_alpha 90.00
_cell_angle_beta 90.00
_cell_angle_gamma 90.00
_symmetry_space_group_name_H-M 'P 1'
_symmetry_Int_Tables_number 1
_symmetry_space_group_name_Hall 'P 1'
loop_
_atom_site_label
_atom_site_type_symbol
_atom_site_fract_x
_atom_site_fract_y
_atom_site_fract_z
Th1 Th 0.500 0.000 0.258
Th2 Th 0.000 0.500 0.742
Be1 Be 0.500 0.500 0.500
Al1 Al 0.500 0.500 0.000
Al2 Al 0.000 0.000 0.000
Al3 Al 0.500 0.000 0.625
Al4 Al 0.000 0.500 0.375
Pt1 Pt 0.000 0.000 0.500
Pt2 Pt 0.500 0.000 0.865
Pt3 Pt 0.000 0.500 0.135
# Volume   18.85 A^3/atom
# DFT formation energy   -0.93 eV per atom


(4)
# GGA-PBE Tb6HoTmTh2, optimized geometry
data_Tb6HoTmTh2
_chemical_formula_sum 'Tb12 Ho2 Tm2 Th4'
_cell_length_a 10.100
_cell_length_b 8.601
_cell_length_c 8.601
_cell_angle_alpha 117.50
_cell_angle_beta 96.45
_cell_angle_gamma 96.45
_symmetry_space_group_name_H-M 'P 1'
_symmetry_Int_Tables_number 1
_symmetry_space_group_name_Hall 'P 1'
loop_
_atom_site_label
_atom_site_type_symbol
_atom_site_fract_x
_atom_site_fract_y
_atom_site_fract_z
Tb1 Tb 0.052 0.113 0.739
Tb2 Tb 0.448 0.261 0.887
Tb3 Tb 0.948 0.887 0.261
Tb4 Tb 0.552 0.739 0.113
Tb5 Tb 0.322 0.979 0.425
Tb6 Tb 0.178 0.575 0.021
Tb7 Tb 0.678 0.021 0.575
Tb8 Tb 0.822 0.425 0.979
Tb9 Tb 0.117 0.692 0.493
Tb10 Tb 0.383 0.507 0.308
Tb11 Tb 0.883 0.308 0.507
Tb12 Tb 0.617 0.493 0.692
Ho1 Ho 0.250 0.990 0.010
Ho2 Ho 0.750 0.010 0.990
Tm1 Tm 0.250 0.403 0.597
Tm2 Tm 0.750 0.597 0.403
Th1 Th 0.456 0.818 0.727
Th2 Th 0.044 0.273 0.182
Th3 Th 0.544 0.182 0.273
Th4 Th 0.956 0.727 0.818
# Volume   32.35 A^3/atom
# DFT formation energy   0.15 eV per atom


(5)
# GGA-PBE Ce2ZnAg3, optimized geometry
data_Ce2ZnAg3
_chemical_formula_sum 'Ce2 Zn1 Ag3'
_cell_length_a 3.227
_cell_length_b 4.850
_cell_length_c 8.430
_cell_angle_alpha 90.00
_cell_angle_beta 90.00
_cell_angle_gamma 90.00
_symmetry_space_group_name_H-M 'P 1'
_symmetry_Int_Tables_number 1
_symmetry_space_group_name_Hall 'P 1'
loop_
_atom_site_label
_atom_site_type_symbol
_atom_site_fract_x
_atom_site_fract_y
_atom_site_fract_z
Ce1 Ce 0.000 0.500 0.003
Ce2 Ce 0.000 0.000 0.498
Zn1 Zn 0.500 0.500 0.332
Ag1 Ag 0.500 0.000 0.835
Ag2 Ag 0.500 0.000 0.173
Ag3 Ag 0.500 0.500 0.659
# Volume   21.99 A^3/atom
# DFT formation energy   -0.20 eV per atom